Material: GaMoI2O
Method: DFT, GGA+U
State: optimized geometry

Results
**Size of the total moment**: 6.22 μB/f.u.
**E**: -13.40 eV/f.u.
**Symmetry**: No. 123

Structure (CIF):
```
data_GaMoI2O
_cell_length_a 5.646
_cell_length_b 5.463
_cell_length_c 5.646
_cell_angle_alpha 90.00
_cell_angle_beta 90.00
_cell_angle_gamma 90.00
_symmetry_space_group_name_H-M 'P 1'
_symmetry_Int_Tables_number 1
loop_
_symmetry_equiv_pos_as_xyz
'x,y,z'
loop_
_atom_site_label
_atom_site_type_symbol
_atom_site_fract_x
_atom_site_fract_y
_atom_site_fract_z
Ga1 Ga 0.000 0.000 0.000
I1 I 0.000 0.000 0.500
I2 I 0.500 0.000 0.000
O1 O 0.500 0.500 0.500
Mo1 Mo 0.000 0.500 0.000
```